Below is Ca3CeH8 after structural relaxation, with properties calculated at the PBE level.

## Properties
V ... 13.2 Å³/atom
VASP energy ... -3.77 eV per atom
Total magnetization ... 1.34 μB/f.u.

Unit cell a=5.4130 b=5.4130 c=5.4130 alpha=90.00 beta=90.00 gamma=90.00
Closest atoms and distances in Å follow each position.
Sites, in units of the cell vectors:
Ca 0.0000 0.0000 0.5000  8 H 2.35
Ca 0.0000 0.5000 0.0000  8 H 2.35
Ca 0.5000 0.0000 0.0000  8 H 2.35
Ce 0.5000 0.5000 0.5000  8 H 2.34
H 0.2507 0.2507 0.2507  1 Ce 2.34, 3 Ca 2.35
H 0.2507 0.2507 0.7493  1 Ce 2.34, 3 Ca 2.35
H 0.2507 0.7493 0.2507  1 Ce 2.34, 3 Ca 2.35
H 0.2507 0.7493 0.7493  1 Ce 2.34, 3 Ca 2.35
H 0.7493 0.2507 0.2507  1 Ce 2.34, 3 Ca 2.35
H 0.7493 0.2507 0.7493  1 Ce 2.34, 3 Ca 2.35
H 0.7493 0.7493 0.2507  1 Ce 2.34, 3 Ca 2.35
H 0.7493 0.7493 0.7493  1 Ce 2.34, 3 Ca 2.35

***

Below is Sb2C2F after structural relaxation, with properties calculated at the PBE level.

## Properties
V ... 14.4 Å³/atom
Energy above the most stable polymorph in this dataset ... 0.000 eV per atom
Energy relative to the elements, uncorrected ... 11.64 kcal/mol of atoms
VASP energy ... -5.21 eV per atom
Total magnetization ... 0.00 μB/f.u.

Unit cell a=4.5524 b=4.5524 c=6.9407 alpha=90.00 beta=90.00 gamma=90.00
Closest atoms and distances in Å follow each position.
Sites, in units of the cell vectors:
Sb 0.0000 0.5000 0.2500  4 C 2.50
Sb 0.0000 0.5000 0.7500  4 C 2.50
Sb 0.5000 0.0000 0.2500  4 C 2.50
Sb 0.5000 0.0000 0.7500  4 C 2.50
C 0.0000 0.0000 0.1015  1 C 1.41
C 0.0000 0.0000 0.8985  1 C 1.41
C 0.5000 0.5000 0.3985  1 C 1.41
C 0.5000 0.5000 0.6015  1 C 1.41
F 0.0000 0.0000 0.5000  2 C 2.77, 8 Sb 2.86
F 0.5000 0.5000 0.0000  2 C 2.77, 8 Sb 2.86

***

Below is CuNi after structural relaxation, with properties calculated at the PBE level.

## Properties
V ... 11.3 Å³/atom
Energy relative to the elements ... 0.1 eV/f.u.
VASP energy ... -4.90 eV per atom
Total magnetization ... 0.17 μB/f.u.

Unit cell a=3.5780 b=3.5780 c=7.0705 alpha=90.00 beta=90.00 gamma=90.00
Closest atoms and distances in Å follow each position.
Sites, in units of the cell vectors:
Cu 0.0000 0.2500 0.3750  8 Ni 2.51-2.53, 4 Cu 2.51
Cu 0.0000 0.7500 0.6250  8 Ni 2.51-2.53, 4 Cu 2.51
Cu 0.5000 0.2500 0.1250  8 Ni 2.51-2.53, 4 Cu 2.51
Cu 0.5000 0.7500 0.8750  8 Ni 2.51-2.53, 4 Cu 2.51
Ni 0.0000 0.2500 0.8750  4 Ni 2.51, 8 Cu 2.51-2.53
Ni 0.0000 0.7500 0.1250  4 Ni 2.51, 8 Cu 2.51-2.53
Ni 0.5000 0.2500 0.6250  4 Ni 2.51, 8 Cu 2.51-2.53
Ni 0.5000 0.7500 0.3750  4 Ni 2.51, 8 Cu 2.51-2.53

***

Below is TaIr2Pt after structural relaxation, with properties calculated at the PBE level.

## Properties
V ... 15.5 Å³/atom
Energy relative to the elements ... -2.2 eV/f.u.
Energy above the most stable polymorph in this dataset ... 0.110 eV per atom
VASP energy ... -9.44 eV per atom
Total magnetization ... 0.00 μB/f.u.

Unit cell a=5.5523 b=5.5596 c=8.0092 alpha=90.00 beta=90.00 gamma=90.00
Closest atoms and distances in Å follow each position.
Sites, in units of the cell vectors:
Ta 0.0000 0.0000 0.0000  8 Ir 2.78-2.80, 4 Pt 2.80
Ta 0.0000 0.5000 0.5000  8 Ir 2.78-2.80, 4 Pt 2.80
Ta 0.5000 0.0000 0.5000  8 Ir 2.78-2.80, 4 Pt 2.80
Ta 0.5000 0.5000 0.0000  8 Ir 2.78-2.80, 4 Pt 2.80
Ir 0.0000 0.0000 0.5000  4 Ta 2.78, 4 Ir 2.80, 4 Pt 2.80
Ir 0.0000 0.5000 0.0000  4 Ta 2.78, 4 Ir 2.80, 4 Pt 2.80
Ir 0.2500 0.2500 0.2500  4 Pt 2.78, 4 Ta 2.80, 4 Ir 2.80
Ir 0.2500 0.7500 0.7500  4 Pt 2.78, 4 Ta 2.80, 4 Ir 2.80
Ir 0.5000 0.0000 0.0000  4 Ta 2.78, 4 Ir 2.80, 4 Pt 2.80
Ir 0.5000 0.5000 0.5000  4 Ta 2.78, 4 Ir 2.80, 4 Pt 2.80
Ir 0.7500 0.2500 0.7500  4 Pt 2.78, 4 Ta 2.80, 4 Ir 2.80
Ir 0.7500 0.7500 0.2500  4 Pt 2.78, 4 Ta 2.80, 4 Ir 2.80
Pt 0.2500 0.2500 0.7500  8 Ir 2.78-2.80, 4 Ta 2.80
Pt 0.2500 0.7500 0.2500  8 Ir 2.78-2.80, 4 Ta 2.80
Pt 0.7500 0.2500 0.2500  8 Ir 2.78-2.80, 4 Ta 2.80
Pt 0.7500 0.7500 0.7500  8 Ir 2.78-2.80, 4 Ta 2.80

***

Below is CrFeH after structural relaxation, with properties calculated at the PBE level.

## Properties
V ... 8.5 Å³/atom
Energy above the most stable polymorph in this dataset ... 0.333 eV per atom
VASP energy ... -6.82 eV per atom
Total magnetization ... 0.00 μB/f.u.

Unit cell a=2.5924 b=2.5924 c=7.5823 alpha=90.00 beta=90.00 gamma=90.00
Closest atoms and distances in Å follow each position.
Sites, in units of the cell vectors:
Cr 0.0000 0.0000 0.0000  1 H 1.92, 1 Fe 2.14
Cr 0.5000 0.5000 0.5000  1 H 1.92, 1 Fe 2.14
Fe 0.0000 0.0000 0.2823  4 H 1.85
Fe 0.5000 0.5000 0.7823  4 H 1.85
H 0.0000 0.0000 0.7465  4 Fe 1.85, 1 Cr 1.92
H 0.5000 0.5000 0.2465  4 Fe 1.85, 1 Cr 1.92

***

Below is PmSbAu4 after structural relaxation, with properties calculated at the PBE level.

## Properties
V ... 21.7 Å³/atom
Energy above the most stable polymorph in this dataset ... 0.000 eV per atom
Energy relative to the elements, uncorrected ... -9.67 kcal/mol of atoms
VASP energy ... -4.08 eV per atom
Total magnetization ... 0.00 μB/f.u.

Unit cell a=5.6921 b=5.6921 c=5.6921 alpha=60.00 beta=60.00 gamma=60.00
Closest atoms and distances in Å follow each position.
Sites, in units of the cell vectors:
Pm 0.0000 0.0000 0.0000  12 Au 3.34, 4 Sb 3.49
Sb 0.2500 0.2500 0.2500  12 Au 3.34, 4 Pm 3.49
Au 0.1247 0.6251 0.6251  6 Au 2.84-2.85
Au 0.6251 0.1247 0.6251  6 Au 2.84-2.85
Au 0.6251 0.6251 0.1247  6 Au 2.84-2.85
Au 0.6251 0.6251 0.6251  6 Au 2.84-2.85

***

Below is TaSbW after structural relaxation, with properties calculated at the PBE level.

## Properties
V ... 18.7 Å³/atom
Energy above the most stable polymorph in this dataset ... 0.051 eV per atom
Energy relative to the elements, uncorrected ... 8.76 kcal/mol of atoms
VASP energy ... -9.26 eV per atom
Total magnetization ... 0.00 μB/f.u.

Unit cell a=4.7215 b=4.7215 c=2.9043 alpha=90.00 beta=90.00 gamma=120.00
Closest atoms and distances in Å follow each position.
Sites, in units of the cell vectors:
Ta 0.0000 0.0000 0.0000  2 Ta 2.90, 6 W 3.00-3.19, 6 Sb 3.03-3.16
Sb 0.3333 0.6667 0.4521  3 W 2.73, 2 Sb 2.90, 3 Ta 3.03
W 0.6667 0.3333 0.4318  3 Sb 2.73, 2 W 2.90, 3 Ta 3.00

***

Below is U2BeTlO8 after structural relaxation, with properties calculated at the PBE level.

## Properties
V ... 14.6 Å³/atom
Energy relative to the elements, uncorrected ... -54.64 kcal/mol of atoms
VASP energy ... -8.06 eV per atom
Total magnetization ... 0.00 μB/f.u.

Unit cell a=5.0592 b=5.0592 c=6.8968 alpha=93.78 beta=93.78 gamma=95.81
Closest atoms and distances in Å follow each position.
Sites, in units of the cell vectors:
U 0.0219 0.0219 0.2596  6 O 1.99-2.18
U 0.9781 0.9781 0.7404  6 O 1.99-2.18
Be 0.5000 0.5000 0.5000  2 O 1.57
Tl 0.5000 0.5000 0.0000  4 O 2.23-2.49
O 0.1683 0.8317 0.0000  2 U 2.18
O 0.1700 0.8300 0.5000  2 U 2.11
O 0.2713 0.2713 0.7445  1 U 1.99
O 0.3302 0.3302 0.3280  1 Be 1.57
O 0.6698 0.6698 0.6720  1 Be 1.57
O 0.7287 0.7287 0.2555  1 U 1.99
O 0.8300 0.1700 0.5000  2 U 2.11
O 0.8317 0.1683 0.0000  2 U 2.18

***

Q: The highest V belongs to which entry?
A: PmSbAu4